# SrLi2Tc PBE-GGA optimized geometry
# D(E_F) (states/eV/atom): 1.245
# Magnetic moment (μB per formula unit): 1.81
# E_form (eV/atom): 0.732
# Excess energy over the best structure of this formula in the dataset (meV/atom): 157
# Symmetry: No. 119
data_SrLi2Tc
_chemical_formula_sum 'Sr2 Li4 Tc2'
_cell_length_a 4.443
_cell_length_b 4.443
_cell_length_c 8.860
_cell_angle_alpha 90.00
_cell_angle_beta 90.00
_cell_angle_gamma 90.00
_symmetry_space_group_name_H-M 'P 1'
_symmetry_Int_Tables_number 1
loop_
_symmetry_equiv_pos_as_xyz
'x,y,z'
loop_
_atom_site_label
_atom_site_type_symbol
_atom_site_fract_x
_atom_site_fract_y
_atom_site_fract_z
Sr1 Sr 0.000 0.000 0.000
Sr2 Sr 0.500 0.500 0.500
Li1 Li 0.000 0.000 0.500
Li2 Li 0.000 0.500 0.250
Li3 Li 0.500 0.000 0.750
Li4 Li 0.500 0.500 0.000
Tc1 Tc 0.000 0.500 0.750
Tc2 Tc 0.500 0.000 0.250

***

# Sr2LiTc2 PBE-GGA optimized geometry
# D(E_F) (states/eV/atom): 1.040
# Magnetic moment (μB per formula unit): 0.00
# E_form (eV/atom): 0.458
# Excess energy over the best structure of this formula in the dataset (meV/atom): 0
# Symmetry: No. 139
data_Sr2LiTc2
_chemical_formula_sum 'Sr4 Li2 Tc4'
_cell_length_a 3.597
_cell_length_b 3.597
_cell_length_c 21.998
_cell_angle_alpha 90.00
_cell_angle_beta 90.00
_cell_angle_gamma 90.00
_symmetry_space_group_name_H-M 'P 1'
_symmetry_Int_Tables_number 1
loop_
_symmetry_equiv_pos_as_xyz
'x,y,z'
loop_
_atom_site_label
_atom_site_type_symbol
_atom_site_fract_x
_atom_site_fract_y
_atom_site_fract_z
Sr1 Sr 0.000 0.000 0.127
Sr2 Sr 0.000 0.000 0.873
Sr3 Sr 0.500 0.500 0.373
Sr4 Sr 0.500 0.500 0.627
Li1 Li 0.000 0.000 0.500
Li2 Li 0.500 0.500 0.000
Tc1 Tc 0.000 0.500 0.250
Tc2 Tc 0.000 0.500 0.750
Tc3 Tc 0.500 0.000 0.250
Tc4 Tc 0.500 0.000 0.750

***

# Sr2LiTc PBE-GGA optimized geometry
# D(E_F) (states/eV/atom): 0.923
# Magnetic moment (μB per formula unit): 1.81
# E_form (eV/atom): 0.623
# Symmetry: No. 99
data_Sr2LiTc
_chemical_formula_sum 'Sr2 Li1 Tc1'
_cell_length_a 3.642
_cell_length_b 3.642
_cell_length_c 8.832
_cell_angle_alpha 90.00
_cell_angle_beta 90.00
_cell_angle_gamma 90.00
_symmetry_space_group_name_H-M 'P 1'
_symmetry_Int_Tables_number 1
loop_
_symmetry_equiv_pos_as_xyz
'x,y,z'
loop_
_atom_site_label
_atom_site_type_symbol
_atom_site_fract_x
_atom_site_fract_y
_atom_site_fract_z
Sr1 Sr 0.000 0.000 0.000
Sr2 Sr 0.500 0.500 0.404
Li1 Li 0.500 0.500 0.753
Tc1 Tc 0.000 0.000 0.641